1.
Here is crystalline TmNpRuPt at its relaxed geometry from Alexandria. Energies are from PBE.

The space group is F-43m (No. 216) and the conventional cell measures 6.827, 6.827 and 6.827 Å, with angles of 90.00, 90.00 and 90.00 degrees. The distinct sites, in fractional coordinates, are Tm at (0.000, 0.000, 0.000), Np at (0.000, 0.000, 0.500), Ru at (0.250, 0.250, 0.250) and Pt at (0.250, 0.250, 0.750).

Its total moment is 13.53 μB/cell. The volume comes out at 318.2 Å³/cell. Its raw total energy is -8.673 eV per atom.



2.
Here is crystalline NpURuPt at its relaxed geometry from Alexandria. Energies are from PBE.

The space group is F-43m (No. 216) and the conventional cell measures 6.553, 6.553 and 6.553 Å, with angles of 90.00, 90.00 and 90.00 degrees. The distinct sites, in fractional coordinates, are Np at (0.000, 0.000, 0.000), U at (0.250, 0.250, 0.750), Ru at (0.000, 0.000, 0.500) and Pt at (0.250, 0.250, 0.250).

Its total moment is 12.69 μB/cell. The volume comes out at 281.4 Å³/cell. Its raw total energy is -10.348 eV per atom.



Copy entry 1 word for word.
Here is crystalline TmNpRuPt at its relaxed geometry from Alexandria. Energies are from PBE.

The space group is F-43m (No. 216) and the conventional cell measures 6.827, 6.827 and 6.827 Å, with angles of 90.00, 90.00 and 90.00 degrees. The distinct sites, in fractional coordinates, are Tm at (0.000, 0.000, 0.000), Np at (0.000, 0.000, 0.500), Ru at (0.250, 0.250, 0.250) and Pt at (0.250, 0.250, 0.750).

Its total moment is 13.53 μB/cell. The volume comes out at 318.2 Å³/cell. Its raw total energy is -8.673 eV per atom.



total moment of number 1 (TmNpRuPt)?
13.53 μB/cell